Compound: Dy2UAg3Te6
Source: Alexandria
Functional: PBE-GGA
Structure: optimized geometry

Computed properties:
- Space group: C2/m
- Uncorrected formation energy: -768.2 kJ/mol of formula units
- Crystal system: monoclinic

a = 4.428 Å, b = 8.443 Å, c = 10.274 Å
α = 103.36°, β = 102.45°, γ = 90.00°
Fractional positions:
1 Ag 0.500 0.500 0.000
2 Dy 0.825 0.692 0.651
3 Te 0.016 0.265 0.033
4 Te 0.661 0.563 0.321
5 Te 0.339 0.437 0.679
6 Te 0.342 0.960 0.684
7 Te 0.658 0.040 0.316
8 Ag 0.788 0.246 0.576
9 Ag 0.212 0.754 0.424
10 U 0.500 0.000 0.000
11 Dy 0.175 0.308 0.349
12 Te 0.984 0.735 0.967